Entry 1:
BiS2ClF: relaxed, PBE.

Calculated values
For the raw formation energy, the calculation gives 0.20 eV per atom. Its crystal system is tetragonal.

a b c (Å): 4.3061 4.3061 5.3120
angles (deg): 90.00 90.00 90.00
Closest atoms and distances in Å follow each position.
Space group P4/mmm (No. 123)
Unique sites:
Bi (0.0000, 0.0000, 0.0000)  4 Cl 3.04
S (0.0000, 0.5000, 0.5000)  2 F 2.15
Cl (0.5000, 0.5000, 0.0000)  2 F 2.66
F (0.5000, 0.5000, 0.5000)  4 S 2.15

Entry 2:
TbPmNd2Bi4: relaxed, PBE.

Calculated values
The calculation puts the formation enthalpy at 0 K at -7.42 eV/f.u. Its crystal system is monoclinic.

a b c (Å): 7.9188 4.5758 7.9209
angles (deg): 90.00 109.48 90.00
Closest atoms and distances in Å follow each position.
Space group P2/m (No. 10)
Unique sites:
Tb (0.0000, 0.0000, 0.0000)  6 Bi 3.20
Pm (0.0000, 0.5000, 0.5000)  6 Bi 3.23
Nd (0.5000, 0.0000, 0.5000)  6 Bi 3.27
Nd (0.5000, 0.5000, 0.0000)  6 Bi 3.24
Bi (0.2443, 0.5000, 0.2456)  2 Tb 3.20, 1 Pm 3.23, 3 Nd 3.24-3.27
Bi (0.2462, 0.0000, 0.7513)  1 Tb 3.20, 2 Pm 3.23, 3 Nd 3.24-3.27

| no. | energy (eV per atom) |
| --- | --- |
| 1 | -2.973 |
| 2 | -5.233 |